Entry from the Alexandria database: a relaxed CeSm3Dy4 crystal (PBE).

It has space group C2/m (No. 12), with a = 25.163 Å, b = 3.423 Å, c = 6.098 Å, α = 90.00°, β = 94.97° and γ = 90.00°. The asymmetric unit holds Ce at (0.000, 0.000, 0.000), Sm at (0.000, 0.500, 0.500), Sm at (0.145, 0.500, 0.747), Dy at (0.106, 0.500, 0.231) and Dy at (0.221, 0.000, 0.237).

As for the magnetization: 1.6 Bohr magnetons per cell. The calculated total energy is -4.560 eV per atom. The value obtained for the formation energy is 195 kJ/mol of formula units. Its crystal system is monoclinic.